(1)
YAgW: optimized geometry, GGA-PBE.

Cell lengths 4.9889, 4.9889, 2.8374 Å; angles 90.00, 90.00, 120.00 degrees
With the nearest neighbours (Å) after each atom.
Atoms (fractional coordinates):
Ag (0.0000, 0.0000, 0.1674)  2 Ag 2.84, 3 W 2.88
Y (0.6667, 0.3333, 0.6666)  2 Y 2.84
W (0.3333, 0.6667, 0.1661)  2 W 2.84, 3 Ag 2.88

Its symmetry is No. 187. As for the total energy: -20.41 eV per formula unit. As for the offset from the most stable computed form: 156 meV per atom.

=====

(2)
YAgW2: optimized geometry, GGA-PBE.

Cell lengths 4.9806, 4.9806, 5.7440 Å; angles 85.28, 85.28, 32.80 degrees
With the nearest neighbours (Å) after each atom.
Atoms (fractional coordinates):
W (0.2537, 0.2537, 0.2069)  5 W 2.64-2.91
Y (0.4948, 0.4948, 0.5103)  2 Y 2.81, 3 Ag 2.86-3.02, 3 W 3.01-3.09
Ag (0.7438, 0.7438, 0.7538)  2 Ag 2.81, 3 Y 2.86-3.02, 5 W 2.97-3.09
W (0.0077, 0.0077, 0.0290)  5 W 2.64-2.91

Its symmetry is No. 8. As for the total energy: -32.83 eV per formula unit. As for the offset from the most stable computed form: 274 meV per atom.

=====

(3)
YAgW2: optimized geometry, GGA-PBE.

Cell lengths 4.3172, 2.9168, 6.4705 Å; angles 72.46, 90.00, 90.00 degrees
With the nearest neighbours (Å) after each atom.
Atoms (fractional coordinates):
W (0.0000, 0.0701, 0.0255)  2 W 2.59
Ag (0.5000, 0.7602, 0.7638)  5 W 2.86-3.09, 2 Ag 2.92, 4 Y 3.08-3.09
W (0.5000, 0.2270, 0.2136)  2 W 2.59, 1 Ag 2.86
Y (0.0000, 0.4427, 0.4970)  2 Y 2.92, 4 W 3.02-3.26, 4 Ag 3.08-3.09

Its symmetry is No. 6. As for the total energy: -33.43 eV per formula unit. As for the offset from the most stable computed form: 123 meV per atom.

=====

(4)
Y2AgW: optimized geometry, GGA-PBE.

Cell lengths 4.4043, 4.4043, 10.4227 Å; angles 77.80, 77.80, 90.00 degrees
With the nearest neighbours (Å) after each atom.
Atoms (fractional coordinates):
Y (0.8750, 0.8815, 0.7500)  2 W 2.92, 2 Ag 2.94, 4 Y 3.07-3.16
Y (0.6315, 0.1250, 0.2500)  2 W 2.92, 2 Ag 2.94, 4 Y 3.07-3.16
Y (0.3750, 0.3685, 0.7500)  2 W 2.92, 2 Ag 2.94, 4 Y 3.07-3.16
Y (0.1185, 0.6250, 0.2500)  2 W 2.92, 2 Ag 2.94, 4 Y 3.07-3.16
W (0.7500, 0.2500, 0.5000)  4 Y 2.92, 4 Ag 3.11
Ag (0.2500, 0.7500, 0.5000)  4 Y 2.94, 4 W 3.11
Ag (0.5000, 0.5000, 0.0000)  4 Y 2.94, 4 W 3.11
W (0.0000, 0.0000, 0.0000)  4 Y 2.92, 4 Ag 3.11

Its symmetry is No. 122. As for the total energy: -24.73 eV per formula unit. As for the offset from the most stable computed form: 803 meV per atom.

=====

> offset from the most stable computed form of number 2 (YAgW2)?

274 meV per atom

=====

> Which of these has the highest offset from the most stable computed form?

Y2AgW

=====

> The highest offset from the most stable computed form belongs to which entry?

Y2AgW

=====

> The lowest offset from the most stable computed form belongs to which entry?

number 3